(1)
Density functional theory data (PBE-GGA) for a relaxed ZrSbBr2 crystal.

POSCAR file:
```
ZrSbBr2
1.0
6.4453 0.0000 0.0000
0.0000 9.3047 0.0000
0.0000 0.0000 3.2925
Zr Sb Br
2 2 4
direct
0.0000 0.0000 0.0000 Zr
0.5000 0.5000 0.0000 Zr
0.0000 0.5000 0.0000 Sb
0.5000 0.0000 0.0000 Sb
0.2500 0.2500 0.5000 Br
0.2500 0.7500 0.5000 Br
0.7500 0.2500 0.5000 Br
0.7500 0.7500 0.5000 Br
```

(2)
Density functional theory data (PBE-GGA) for a relaxed ZrSbBr2 crystal.

POSCAR file:
```
ZrSbBr2
1.0
3.4986 0.0000 0.0000
-1.7493 3.0299 0.0000
0.0000 0.0000 31.1223
Zr Sb Br
3 3 6
direct
0.0000 0.0000 0.0000 Zr
0.3333 0.6667 0.6667 Zr
0.6667 0.3333 0.3333 Zr
0.0000 0.0000 0.5000 Sb
0.3333 0.6667 0.1667 Sb
0.6667 0.3333 0.8333 Sb
0.0000 0.0000 0.0827 Br
0.0000 0.0000 0.9173 Br
0.3333 0.6667 0.5840 Br
0.3333 0.6667 0.7494 Br
0.6667 0.3333 0.2506 Br
0.6667 0.3333 0.4160 Br
```

(3)
Density functional theory data (PBE-GGA) for a relaxed ZrSbBr2 crystal.

POSCAR file:
```
ZrSbBr2
1.0
3.4163 0.0000 0.0000
-1.7082 2.9586 0.0000
0.0000 0.0000 36.1773
Zr Sb Br
3 3 6
direct
0.0000 0.0000 0.0000 Zr
0.3333 0.6667 0.6667 Zr
0.6667 0.3333 0.3333 Zr
0.0000 0.0000 0.5000 Sb
0.3333 0.6667 0.1667 Sb
0.6667 0.3333 0.8333 Sb
0.0000 0.0000 0.2796 Br
0.0000 0.0000 0.7204 Br
0.3333 0.6667 0.3871 Br
0.3333 0.6667 0.9463 Br
0.6667 0.3333 0.0537 Br
0.6667 0.3333 0.6129 Br
```

(4)
Density functional theory data (PBE-GGA) for a relaxed ZrSbBr2 crystal.

POSCAR file:
```
ZrSbBr2
1.0
3.2498 0.0000 0.0000
0.0000 3.2498 0.0000
0.0000 0.0000 10.2208
Zr Sb Br
1 1 2
direct
0.0000 0.0000 0.0000 Zr
0.5000 0.5000 0.7827 Sb
0.0000 0.0000 0.4741 Br
0.5000 0.5000 0.1685 Br
```

(5)
Density functional theory data (PBE-GGA) for a relaxed ZrSb3Br crystal.

POSCAR file:
```
ZrSb3Br
1.0
5.5344 0.0000 0.0000
0.0000 5.5344 0.0000
0.0000 0.0000 5.5344
Zr Sb Br
1 3 1
direct
0.0000 0.0000 0.0000 Zr
0.0000 0.0000 0.5000 Sb
0.0000 0.5000 0.0000 Sb
0.5000 0.0000 0.0000 Sb
0.5000 0.5000 0.5000 Br
```

(6)
Density functional theory data (PBE-GGA) for a relaxed ZrSbBr2 crystal.

POSCAR file:
```
ZrSbBr2
1.0
4.5368 0.0000 0.0000
0.0000 4.5368 0.0000
0.0000 0.0000 4.8903
Zr Sb Br
1 1 2
direct
0.0000 0.0000 0.0000 Zr
0.5000 0.5000 0.0000 Sb
0.0000 0.5000 0.5000 Br
0.5000 0.0000 0.5000 Br
```

(7)
Density functional theory data (PBE-GGA) for a relaxed ZrSbBr2 crystal.

POSCAR file:
```
ZrSbBr2
1.0
4.3099 0.0000 0.0000
0.0000 3.7364 0.0000
-2.1478 0.0000 8.0059
Zr Sb Br
1 1 2
direct
0.0000 0.0000 0.0000 Zr
0.5490 0.5000 0.0982 Sb
0.1690 0.0000 0.3381 Br
0.8710 0.5000 0.7402 Br
```

(8)
Density functional theory data (PBE-GGA) for a relaxed ZrSbBr2 crystal.

POSCAR file:
```
ZrSbBr2
1.0
4.6725 0.0000 0.0000
0.0000 4.6725 0.0000
0.0000 0.0000 8.9284
Zr Sb Br
2 2 4
direct
0.0000 0.0000 0.0000 Zr
0.5000 0.5000 0.5000 Zr
0.0000 0.5000 0.2500 Sb
0.5000 0.0000 0.7500 Sb
0.0000 0.0000 0.5000 Br
0.0000 0.5000 0.7500 Br
0.5000 0.0000 0.2500 Br
0.5000 0.5000 0.0000 Br
```

(9)
Density functional theory data (PBE-GGA) for a relaxed ZrSbBr2 crystal.

POSCAR file:
```
ZrSbBr2
1.0
3.3078 0.0000 0.0000
0.0000 6.1837 0.0000
0.0000 0.0000 12.4417
Zr Sb Br
2 2 4
direct
0.0000 0.0000 0.0000 Zr
0.5000 0.5000 0.0000 Zr
0.0000 0.0000 0.5000 Sb
0.5000 0.5000 0.5000 Sb
0.0000 0.5000 0.1720 Br
0.0000 0.5000 0.8280 Br
0.5000 0.0000 0.1720 Br
0.5000 0.0000 0.8280 Br
```

(10)
Density functional theory data (PBE-GGA) for a relaxed ZrSbBr2 crystal.

POSCAR file:
```
ZrSbBr2
1.0
5.2110 0.0000 0.0000
0.0000 5.2110 0.0000
0.0000 0.0000 3.5063
Zr Sb Br
1 1 2
direct
0.0000 0.0000 0.0000 Zr
0.5000 0.5000 0.0000 Sb
0.0000 0.5000 0.5000 Br
0.5000 0.0000 0.5000 Br
```

(11)
Density functional theory data (PBE-GGA) for a relaxed ZrSbBr crystal.

POSCAR file:
```
ZrSbBr
1.0
6.8126 0.0000 0.0000
0.0000 6.8126 0.0000
0.0000 0.0000 6.8126
Zr Sb Br
4 4 4
direct
0.0000 0.0000 0.0000 Zr
0.0000 0.5000 0.5000 Zr
0.5000 0.0000 0.5000 Zr
0.5000 0.5000 0.0000 Zr
0.0000 0.0000 0.5000 Sb
0.0000 0.5000 0.0000 Sb
0.5000 0.0000 0.0000 Sb
0.5000 0.5000 0.5000 Sb
0.2500 0.2500 0.2500 Br
0.2500 0.7500 0.7500 Br
0.7500 0.2500 0.7500 Br
0.7500 0.7500 0.2500 Br
```

(12)
Density functional theory data (PBE-GGA) for a relaxed ZrSbBr2 crystal.

POSCAR file:
```
ZrSbBr2
1.0
3.2725 0.0000 0.0000
0.0000 3.2725 0.0000
0.0000 0.0000 11.0165
Zr Sb Br
1 1 2
direct
0.0000 0.0000 0.0000 Zr
0.0000 0.0000 0.5000 Sb
0.5000 0.5000 0.1521 Br
0.5000 0.5000 0.8479 Br
```

no.,ΔE to the lowest computed polymorph (eV/f.u.),D(E_F) (states/eV per cell)
1,3.417,6.671
2,2.741,14.254
3,0.677,12.870
4,1.380,2.429
5,0.000,1.630
6,3.293,3.326
7,0.316,3.280
8,2.818,6.196
9,1.526,6.075
10,3.651,3.258
11,2.875,3.288
12,0.930,3.028